# 1
Density functional theory data (PBE-GGA) for a geometry-optimized TbUC structure.

Lattice parameters (Å, degrees): 5.8716 6.1791 6.0940 90.00 90.00 90.00
Closest atoms and distances in Å follow each position.
Positions (direct):
Tb (0.0000, 0.2500, 0.1999)  2 C 2.39
Tb (0.0000, 0.7500, 0.8001)  2 C 2.39
Tb (0.5000, 0.2500, 0.3001)  2 C 2.39
Tb (0.5000, 0.7500, 0.6999)  2 C 2.39
U (0.2500, 0.2500, 0.7500)  4 C 2.62
U (0.2500, 0.7500, 0.2500)  4 C 2.62
U (0.7500, 0.2500, 0.7500)  4 C 2.62
U (0.7500, 0.7500, 0.2500)  4 C 2.62
C (0.0000, 0.0000, 0.5000)  2 Tb 2.39, 4 U 2.62
C (0.0000, 0.5000, 0.5000)  2 Tb 2.39, 4 U 2.62
C (0.5000, 0.0000, 0.0000)  2 Tb 2.39, 4 U 2.62
C (0.5000, 0.5000, 0.0000)  2 Tb 2.39, 4 U 2.62

For the volume, the calculation gives 18.42 Å³ per atom. The value obtained for the energy is -95.6 eV for the cell shown. The relative energy among the computed polymorphs is 9.54 kcal/mol of atoms. The formation energy is 418 meV per atom. The total magnetization is 6.12 μB/cell.

# 2
Density functional theory data (PBE-GGA) for a geometry-optimized BaDy2Se4 structure.

Lattice parameters (Å, degrees): 7.1833 7.1833 14.2963 90.00 90.00 145.87
Closest atoms and distances in Å follow each position.
Positions (direct):
Ba (0.1099, 0.8901, 0.7500)  6 Se 3.20-3.35
Ba (0.8901, 0.1099, 0.2500)  6 Se 3.20-3.35
Dy (0.3653, 0.6347, 0.5666)  6 Se 2.79-2.96
Dy (0.3653, 0.6347, 0.9334)  6 Se 2.79-2.96
Dy (0.6347, 0.3653, 0.0666)  6 Se 2.79-2.96
Dy (0.6347, 0.3653, 0.4334)  6 Se 2.79-2.96
Se (0.0000, 0.0000, 0.0000)  4 Dy 2.96
Se (0.0000, 0.0000, 0.5000)  4 Dy 2.96
Se (0.2674, 0.7326, 0.1115)  3 Dy 2.86-2.88
Se (0.2674, 0.7326, 0.3885)  3 Dy 2.86-2.88
Se (0.4343, 0.5657, 0.7500)  2 Dy 2.79
Se (0.5657, 0.4343, 0.2500)  2 Dy 2.79
Se (0.7326, 0.2674, 0.6115)  3 Dy 2.86-2.88
Se (0.7326, 0.2674, 0.8885)  3 Dy 2.86-2.88

For the volume, the calculation gives 29.57 Å³ per atom. The value obtained for the energy is -77.5 eV for the cell shown. The relative energy among the computed polymorphs is 0.57 kcal/mol of atoms. The total magnetization is 0.00 μB/cell. The value obtained for the formation energy from raw total energies is -188.79 kJ/mol of atoms.

# 3
Density functional theory data (PBE-GGA) for a geometry-optimized PdSO5 structure.

Lattice parameters (Å, degrees): 4.8595 4.8595 6.8382 109.23 109.23 74.29
Closest atoms and distances in Å follow each position.
Positions (direct):
Pd (0.0061, 0.9939, 0.7500)  6 O 2.03-2.20
Pd (0.9939, 0.0061, 0.2500)  6 O 2.03-2.20
S (0.5000, 0.5000, 0.0000)  6 O 1.60-1.72
S (0.5000, 0.5000, 0.5000)  6 O 1.60-1.72
O (0.1703, 0.7445, 0.4883)  1 S 1.71
O (0.2109, 0.3501, 0.8928)  1 S 1.60
O (0.2555, 0.8297, 0.0117)  1 S 1.71
O (0.3501, 0.2109, 0.3928)  1 S 1.60
O (0.4753, 0.5247, 0.2500)  2 S 1.72
O (0.5247, 0.4753, 0.7500)  2 S 1.72
O (0.6499, 0.7891, 0.6072)  1 S 1.60
O (0.7445, 0.1703, 0.9883)  1 S 1.71
O (0.7891, 0.6499, 0.1072)  1 S 1.60
O (0.8297, 0.2555, 0.5117)  1 S 1.71

For the volume, the calculation gives 10.11 Å³ per atom. The value obtained for the energy is -70.2 eV for the cell shown. The total magnetization is 0.33 μB/cell. The value obtained for the formation energy from raw total energies is -13.84 kJ/mol of atoms.

# 4
Density functional theory data (PBE-GGA) for a geometry-optimized TiRu3W structure.

Lattice parameters (Å, degrees): 4.6364 4.6364 4.6364 90.00 90.00 90.00
Closest atoms and distances in Å follow each position.
Positions (direct):
Ti (0.0000, 0.0000, 0.0000)  12 Ru 3.28
Ru (0.0000, 0.5000, 0.5000)  2 W 2.32
Ru (0.5000, 0.0000, 0.5000)  2 W 2.32
Ru (0.5000, 0.5000, 0.0000)  2 W 2.32
W (0.5000, 0.5000, 0.5000)  6 Ru 2.32

For the volume, the calculation gives 19.93 Å³ per atom. The value obtained for the energy is -42.0 eV for the cell shown. The relative energy among the computed polymorphs is 0.00 kcal/mol of atoms. The formation energy is 1326 meV per atom. The total magnetization is 0.16 μB/cell.

# 5
Density functional theory data (PBE-GGA) for a geometry-optimized Rb2CaAlSb2 structure.

Lattice parameters (Å, degrees): 9.9547 9.9547 9.9547 137.46 62.45 136.53
Closest atoms and distances in Å follow each position.
Positions (direct):
Rb (0.1781, 0.2422, 0.4203)  4 Sb 3.66-3.96, 2 Al 3.96, 2 Ca 4.01
Rb (0.3219, 0.7422, 0.0640)  4 Sb 3.66-3.96, 2 Al 3.96, 2 Ca 4.01
Rb (0.6781, 0.2578, 0.9360)  4 Sb 3.66-3.96, 2 Al 3.96, 2 Ca 4.01
Rb (0.8219, 0.7578, 0.5797)  4 Sb 3.66-3.96, 2 Al 3.96, 2 Ca 4.01
Ca (0.2500, 0.7500, 0.5000)  4 Sb 3.15
Ca (0.7500, 0.2500, 0.5000)  4 Sb 3.15
Al (0.2500, 0.2500, 0.0000)  4 Sb 2.92
Al (0.7500, 0.7500, 0.0000)  4 Sb 2.92
Sb (0.0932, 0.7773, 0.8705)  2 Al 2.92, 2 Ca 3.15
Sb (0.4068, 0.2773, 0.6841)  2 Al 2.92, 2 Ca 3.15
Sb (0.5932, 0.7227, 0.3159)  2 Al 2.92, 2 Ca 3.15
Sb (0.9068, 0.2227, 0.1295)  2 Al 2.92, 2 Ca 3.15

For the volume, the calculation gives 37.77 Å³ per atom. The value obtained for the energy is -37.6 eV for the cell shown. The total magnetization is 0.00 μB/cell. The value obtained for the formation energy from raw total energies is -46.52 kJ/mol of atoms.

# 6
Density functional theory data (PBE-GGA) for a geometry-optimized Sn2BiPb2 structure.

Lattice parameters (Å, degrees): 4.5530 4.5530 15.5256 90.00 90.00 90.00
Closest atoms and distances in Å follow each position.
Positions (direct):
Sn (0.0000, 0.0000, 0.0949)  1 Sn 2.95
Sn (0.0000, 0.0000, 0.9051)  1 Sn 2.95
Sn (0.5000, 0.5000, 0.4051)  1 Sn 2.95
Sn (0.5000, 0.5000, 0.5949)  1 Sn 2.95
Bi (0.0000, 0.0000, 0.5000)  8 Sn 3.54
Bi (0.5000, 0.5000, 0.0000)  8 Sn 3.54
Pb (0.0000, 0.5000, 0.2500)  4 Pb 3.22, 4 Sn 3.31
Pb (0.0000, 0.5000, 0.7500)  4 Pb 3.22, 4 Sn 3.31
Pb (0.5000, 0.0000, 0.2500)  4 Pb 3.22, 4 Sn 3.31
Pb (0.5000, 0.0000, 0.7500)  4 Pb 3.22, 4 Sn 3.31

For the volume, the calculation gives 32.18 Å³ per atom. The value obtained for the energy is -36.7 eV for the cell shown. The relative energy among the computed polymorphs is 3.42 kcal/mol of atoms. The formation energy is 192 meV per atom. The total magnetization is 0.00 μB/cell.

# 7
Density functional theory data (PBE-GGA) for a geometry-optimized Th2ZrTiN5 structure.

Lattice parameters (Å, degrees): 7.0726 7.0726 10.4829 90.00 90.00 151.83
Closest atoms and distances in Å follow each position.
Positions (direct):
Th (0.1134, 0.8866, 0.5000)  5 N 2.36-2.62
Th (0.1411, 0.8589, 0.0974)  5 N 2.46-2.53
Th (0.8589, 0.1411, 0.5974)  5 N 2.46-2.53
Th (0.8866, 0.1134, 0.0000)  5 N 2.36-2.62
Zr (0.2126, 0.7874, 0.8111)  6 N 2.21-2.34
Zr (0.7874, 0.2126, 0.3111)  6 N 2.21-2.34
Ti (0.4798, 0.5202, 0.2755)  4 N 1.94-2.05
Ti (0.5202, 0.4798, 0.7755)  4 N 1.94-2.05
N (0.0500, 0.9500, 0.8575)  2 Ti 1.97
N (0.2830, 0.7170, 0.4617)  2 Zr 2.34, 3 Th 2.36-2.46
N (0.3134, 0.6866, 0.1764)  2 Zr 2.25, 1 Th 2.51, 1 Ti 2.51
N (0.3734, 0.6266, 0.8125)  1 Ti 2.05, 1 Zr 2.21
N (0.4938, 0.5062, 0.5937)  1 Ti 1.94
N (0.5062, 0.4938, 0.0937)  1 Ti 1.94
N (0.6266, 0.3734, 0.3125)  1 Ti 2.05, 1 Zr 2.21
N (0.6866, 0.3134, 0.6764)  2 Zr 2.25, 1 Th 2.51, 1 Ti 2.51
N (0.7170, 0.2830, 0.9617)  2 Zr 2.34, 3 Th 2.36-2.46
N (0.9500, 0.0500, 0.3575)  2 Ti 1.97

For the volume, the calculation gives 13.75 Å³ per atom. The value obtained for the energy is -174.0 eV for the cell shown. The total magnetization is 0.00 μB/cell. The value obtained for the formation energy from raw total energies is -151.04 kJ/mol of atoms.

# 8
Density functional theory data (PBE-GGA) for a geometry-optimized PuUTe2 structure.

Lattice parameters (Å, degrees): 4.3031 4.3031 22.4531 90.00 90.00 120.00
Closest atoms and distances in Å follow each position.
Positions (direct):
Pu (0.0000, 0.0000, 0.0000)  6 Te 3.11
Pu (0.3333, 0.6667, 0.6667)  6 Te 3.11
Pu (0.6667, 0.3333, 0.3333)  6 Te 3.11
U (0.0000, 0.0000, 0.5000)  6 Te 3.11
U (0.3333, 0.6667, 0.1667)  6 Te 3.11
U (0.6667, 0.3333, 0.8333)  6 Te 3.11
Te (0.0000, 0.0000, 0.2502)  3 Pu 3.11, 3 U 3.11
Te (0.0000, 0.0000, 0.7498)  3 Pu 3.11, 3 U 3.11
Te (0.3333, 0.6667, 0.4164)  3 Pu 3.11, 3 U 3.11
Te (0.3333, 0.6667, 0.9169)  3 Pu 3.11, 3 U 3.11
Te (0.6667, 0.3333, 0.0831)  3 Pu 3.11, 3 U 3.11
Te (0.6667, 0.3333, 0.5836)  3 Pu 3.11, 3 U 3.11

For the volume, the calculation gives 30.00 Å³ per atom. The value obtained for the energy is -104.7 eV for the cell shown. The relative energy among the computed polymorphs is 0.00 kcal/mol of atoms. The total magnetization is 27.25 μB/cell. The value obtained for the formation energy from raw total energies is -72.59 kJ/mol of atoms.